# 1
This record from the Alexandria database describes a PBEsol-optimized structure of GaCo3Bi. The functional is SCAN.

Summary:
- total DFT energy (no corrections) (eV/atom) = -28.485
- ΔE_f (kJ per mole of atoms) = 85
- crystal system = cubic

abc: 4.3353 4.3353 4.3353
angles: 90.00 90.00 90.00
Fractional positions:
Co: 0.5000 0.0000 0.0000
Co: 0.0000 0.5000 0.0000
Co: 0.0000 0.0000 0.5000
Bi: 0.5000 0.5000 0.5000
Ga: 0.0000 0.0000 0.0000


# 2
This record from the Alexandria database describes a PBEsol-optimized structure of GaCoBi2Se. The functional is SCAN.

Summary:
- total DFT energy (no corrections) (eV/atom) = -41.543
- energy relative to the elements, uncorrected (eV per atom) = 0.635
- crystal system = tetragonal

abc: 4.1870 5.6646 5.6646
angles: 90.00 90.00 90.00
Fractional positions:
Se: 0.0000 0.0000 0.0000
Bi: 0.0000 0.0000 0.5000
Bi: 0.0000 0.5000 0.0000
Co: 0.5000 0.0000 0.0000
Ga: 0.5000 0.5000 0.5000


# 3
This record from the Alexandria database describes a PBEsol-optimized structure of Co2BiH2. The functional is SCAN.

Summary:
- total DFT energy (no corrections) (eV/atom) = -23.638
- crystal system = tetragonal

abc: 3.2401 3.2401 5.5322
angles: 107.03 107.03 90.00
Fractional positions:
Co: 0.6933 0.6933 0.3866
Co: 0.3067 0.3067 0.6134
H: 0.2500 0.7500 0.5000
H: 0.7500 0.2500 0.5000
Bi: 0.0000 0.0000 0.0000


# 4
This record from the Alexandria database describes a PBEsol-optimized structure of CoBiHRu2. The functional is SCAN.

Summary:
- total DFT energy (no corrections) (eV/atom) = -32.082
- crystal system = tetragonal

abc: 3.4119 4.9949 4.9949
angles: 90.00 90.00 90.00
Fractional positions:
Ru: 0.0000 0.0000 0.5000
Ru: 0.0000 0.5000 0.0000
Co: 0.5000 0.5000 0.5000
Bi: 0.0000 0.0000 0.0000
H: 0.5000 0.0000 0.0000